Computed, not measured: a crystal of KVS2O9 relaxed with PBEsol at the meta-GGA SCAN level of DFT.

Lattice parameters (Å, degrees): 4.9350 8.8587 16.3088 90.00 90.00 90.00
Fractional positions:
1 O 0.5327 0.4206 0.6112
2 V 0.7420 0.6566 0.1967
3 V 0.7580 0.3434 0.6967
4 O 0.2444 0.2184 0.5569
5 O 0.1993 0.7617 0.3965
6 O 0.2442 0.9022 0.2658
7 O 0.4607 0.3471 0.7700
8 O 0.7442 0.5978 0.7343
9 O 0.0327 0.0794 0.3888
10 O 0.5607 0.0798 0.3571
11 O 0.4393 0.5798 0.1429
12 O 0.9832 0.3220 0.7956
13 O 0.0607 0.4202 0.6429
14 O 0.2857 0.5192 0.0069
15 S 0.7516 0.2588 0.1911
16 O 0.7558 0.4022 0.2342
17 K 0.2728 0.0774 0.0532
18 O 0.5393 0.8471 0.7300
19 O 0.0168 0.8220 0.7044
20 S 0.2516 0.2412 0.8089
21 V 0.2420 0.8434 0.8033
22 O 0.2143 0.4808 0.5069
23 O 0.5168 0.6780 0.2956
24 O 0.4832 0.1780 0.2044
25 S 0.7391 0.8771 0.9260
26 K 0.2272 0.9226 0.5532
27 O 0.7393 0.8264 0.1690
28 O 0.9607 0.1529 0.2300
29 O 0.9673 0.5794 0.1112
30 S 0.7484 0.7412 0.6911
31 O 0.7607 0.1736 0.6690
32 S 0.2391 0.6229 0.0740
33 K 0.7272 0.5774 0.4468
34 O 0.6993 0.7383 0.6035
35 O 0.2393 0.6736 0.8310
36 K 0.7728 0.4226 0.9468
37 O 0.2607 0.3264 0.3310
38 O 0.0393 0.6529 0.2700
39 O 0.7857 0.9808 0.9931
40 O 0.4673 0.9206 0.8888
41 O 0.8007 0.2617 0.1035
42 O 0.3007 0.2383 0.8965
43 O 0.2558 0.0978 0.7657
44 S 0.7609 0.1229 0.4260
45 O 0.9393 0.9202 0.8571
46 S 0.2609 0.3771 0.5740
47 S 0.2484 0.7588 0.3089
48 O 0.7143 0.0192 0.4931
49 O 0.7556 0.7184 0.9431
50 O 0.7444 0.2816 0.4431
51 V 0.2580 0.1566 0.3033
52 O 0.2556 0.7816 0.0569

Calculated values
- total DFT energy (no corrections) (eV per atom) = -9.718
- crystal system = orthorhombic
- energy relative to the elements, uncorrected (eV/atom) = -1.94

---

Computed, not measured: a crystal of KVSO6 relaxed with PBEsol at the meta-GGA SCAN level of DFT.

Lattice parameters (Å, degrees): 5.4880 8.3424 11.0174 90.00 90.00 90.00
Fractional positions:
1 S 0.9729 0.5445 0.2086
2 S 0.4729 0.9555 0.7914
3 O 0.3086 0.7143 0.4968
4 O 0.6914 0.2143 0.0032
5 K 0.9672 0.6946 0.8588
6 O 0.3968 0.1208 0.8111
7 O 0.5062 0.8617 0.9007
8 K 0.5328 0.3054 0.3588
9 O 0.0285 0.9886 0.9926
10 V 0.9817 0.1538 0.0631
11 O 0.7876 0.6222 0.2949
12 O 0.1982 0.5544 0.2896
13 O 0.9938 0.1383 0.4007
14 O 0.2876 0.8778 0.7051
15 O 0.3018 0.4456 0.7896
16 O 0.0062 0.6383 0.0993
17 S 0.5271 0.4555 0.7086
18 K 0.0328 0.1946 0.6412
19 O 0.6982 0.9456 0.7104
20 O 0.4715 0.0114 0.4926
21 O 0.1032 0.8792 0.3111
22 V 0.0183 0.6538 0.4369
23 K 0.4672 0.8054 0.1412
24 O 0.8968 0.3792 0.1889
25 V 0.5183 0.8462 0.5631
26 O 0.5285 0.5114 0.0074
27 S 0.0271 0.0445 0.2914
28 V 0.4817 0.3462 0.9369
29 O 0.7124 0.3778 0.7949
30 O 0.9715 0.4886 0.5074
31 O 0.2124 0.1222 0.2051
32 O 0.8086 0.7857 0.5032
33 O 0.4938 0.3617 0.5993
34 O 0.6032 0.6208 0.6889
35 O 0.8018 0.0544 0.2104
36 O 0.1914 0.2857 0.9968

Calculated values
- total DFT energy (no corrections) (eV per atom) = -10.236
- crystal system = orthorhombic
- energy relative to the elements, uncorrected (eV/atom) = -2.14

---

Computed, not measured: a crystal of K3VSO3 relaxed with PBEsol at the meta-GGA SCAN level of DFT.

Lattice parameters (Å, degrees): 5.8481 6.6250 8.6944 103.35 90.00 90.00
Fractional positions:
1 O 0.4857 0.5526 0.7388
2 O 0.7500 0.1866 0.0148
3 S 0.2500 0.9481 0.6522
4 K 0.2500 0.7738 0.2771
5 K 0.7500 0.7641 0.9957
6 O 0.2500 0.8134 0.9852
7 V 0.2500 0.7019 0.7890
8 K 0.7500 0.6901 0.5296
9 V 0.7500 0.2981 0.2110
10 S 0.7500 0.0519 0.3478
11 O 0.9857 0.4474 0.2612
12 O 0.0143 0.5526 0.7388
13 K 0.2500 0.3099 0.4704
14 K 0.2500 0.2359 0.0043
15 O 0.5143 0.4474 0.2612
16 K 0.7500 0.2262 0.7229

Calculated values
- total DFT energy (no corrections) (eV per atom) = -11.030
- crystal system = monoclinic
- energy relative to the elements, uncorrected (eV/atom) = -2.18

---

Computed, not measured: a crystal of K4WS3O14 relaxed with PBEsol at the meta-GGA SCAN level of DFT.

Lattice parameters (Å, degrees): 9.4747 10.2285 14.0590 90.00 90.00 90.87
Fractional positions:
1 O 0.9462 0.9896 0.2597
2 S 0.9797 0.5204 0.7825
3 K 0.3265 0.3298 0.8277
4 S 0.5895 0.2918 0.9981
5 O 0.7729 0.8981 0.4934
6 O 0.9993 0.9222 0.8942
7 O 0.7082 0.7361 0.8297
8 O 0.1050 0.8727 0.1551
9 O 0.4919 0.1617 0.7309
10 O 0.0081 0.3383 0.2309
11 S 0.9105 0.2082 0.4981
12 O 0.5078 0.8152 0.0239
13 O 0.0360 0.8702 0.4155
14 O 0.0757 0.4742 0.8567
15 O 0.4462 0.4896 0.2403
16 O 0.6737 0.0091 0.3251
17 S 0.0233 0.0470 0.8449
18 O 0.1459 0.1198 0.8833
19 K 0.0009 0.7016 0.0033
20 O 0.3541 0.3802 0.3833
21 K 0.9991 0.2984 0.9967
22 K 0.1735 0.1702 0.3277
23 K 0.7943 0.5264 0.4521
24 W 0.6645 0.5844 0.8771
25 O 0.2271 0.1019 0.5066
26 S 0.4105 0.7082 0.0019
27 K 0.7057 0.9736 0.9521
28 W 0.3355 0.4156 0.1229
29 O 0.7701 0.2517 0.5246
30 O 0.0538 0.0104 0.7403
31 S 0.4767 0.4530 0.3449
32 O 0.4640 0.6298 0.9155
33 O 0.3263 0.9909 0.6749
34 O 0.2082 0.2361 0.6703
35 O 0.5538 0.5104 0.7597
36 W 0.1645 0.0844 0.6229
37 O 0.5360 0.3702 0.0845
38 O 0.3950 0.6273 0.6551
39 O 0.7271 0.6019 0.9934
40 O 0.5081 0.8383 0.2691
41 O 0.9243 0.5258 0.1433
42 O 0.4830 0.9447 0.8052
43 O 0.1737 0.5091 0.1749
44 O 0.2918 0.2639 0.1703
45 S 0.0203 0.4796 0.2175
46 O 0.5007 0.5778 0.3942
47 K 0.2488 0.7757 0.7820
48 O 0.9919 0.6617 0.7691
49 K 0.2512 0.7243 0.2820
50 O 0.7299 0.2483 0.0246
51 K 0.5009 0.2016 0.4967
52 K 0.7512 0.2243 0.2180
53 O 0.0007 0.0778 0.1058
54 O 0.0170 0.5553 0.3051
55 S 0.5203 0.9796 0.2825
56 S 0.5233 0.5470 0.6551
57 O 0.2729 0.3981 0.0066
58 K 0.6735 0.6702 0.1723
59 S 0.0895 0.7918 0.5019
60 W 0.8355 0.9156 0.3771
61 K 0.7488 0.2757 0.7180
62 O 0.5170 0.0553 0.1948
63 O 0.5757 0.9742 0.6433
64 O 0.2701 0.7517 0.9754
65 O 0.9640 0.1298 0.5845
66 O 0.4055 0.6170 0.0852
67 O 0.8541 0.8802 0.1167
68 O 0.4922 0.1848 0.9761
69 S 0.9767 0.9530 0.1551
70 O 0.9055 0.1170 0.4148
71 O 0.0078 0.3152 0.4761
72 K 0.2943 0.0264 0.0479
73 O 0.0945 0.8830 0.5852
74 K 0.2057 0.4736 0.5479
75 O 0.4993 0.4222 0.6058
76 S 0.4797 0.0204 0.7175
77 O 0.5945 0.3830 0.9148
78 O 0.6459 0.6198 0.6167
79 K 0.8265 0.8298 0.6723
80 O 0.4243 0.0258 0.3567
81 O 0.2299 0.7483 0.4754
82 O 0.9830 0.4447 0.6948
83 O 0.8263 0.4909 0.8251
84 O 0.9922 0.6848 0.5239
85 O 0.8950 0.1273 0.8449
86 O 0.7918 0.7639 0.3297
87 K 0.4991 0.7984 0.5033
88 O 0.6050 0.3727 0.3449

Calculated values
- total DFT energy (no corrections) (eV per atom) = -11.992
- crystal system = monoclinic
- energy relative to the elements, uncorrected (eV/atom) = -2.03

---

Computed, not measured: a crystal of K2ZnS2O8 relaxed with PBEsol at the meta-GGA SCAN level of DFT.

Lattice parameters (Å, degrees): 5.3458 8.8297 16.0481 90.00 92.12 90.00
Fractional positions:
1 K 0.7364 0.1749 0.5222
2 K 0.2297 0.6444 0.2278
3 O 0.5760 0.2363 0.9078
4 K 0.7703 0.3556 0.7722
5 O 0.3406 0.3794 0.5160
6 S 0.2541 0.8894 0.0717
7 O 0.1331 0.5328 0.8936
8 O 0.4240 0.7637 0.0922
9 K 0.7297 0.8556 0.7278
10 S 0.7459 0.1106 0.9283
11 S 0.2353 0.6156 0.8228
12 O 0.3700 0.2744 0.6793
13 O 0.8595 0.4567 0.2567
14 O 0.1405 0.5433 0.7433
15 O 0.6331 0.9672 0.3936
16 S 0.7647 0.3844 0.1772
17 O 0.0319 0.8813 0.1267
18 O 0.8700 0.2256 0.1793
19 K 0.2364 0.3251 0.0222
20 O 0.9892 0.1214 0.6726
21 O 0.9681 0.1187 0.8733
22 S 0.7353 0.8844 0.3228
23 Zn 0.7520 0.5310 0.3700
24 O 0.4681 0.3813 0.3733
25 K 0.2703 0.1444 0.2722
26 O 0.6300 0.7256 0.3207
27 Zn 0.2520 0.9690 0.8700
28 O 0.3669 0.0328 0.6064
29 S 0.7541 0.6106 0.5717
30 S 0.2647 0.1156 0.6772
31 O 0.0760 0.2637 0.4078
32 S 0.2459 0.3894 0.4283
33 O 0.4892 0.3786 0.1726
34 O 0.3851 0.0381 0.0876
35 O 0.5319 0.6187 0.6267
36 O 0.0108 0.8786 0.3274
37 O 0.1594 0.8794 0.9840
38 O 0.3595 0.0433 0.7567
39 O 0.8669 0.4672 0.1064
40 K 0.2636 0.8251 0.4778
41 O 0.1300 0.7744 0.8207
42 O 0.8406 0.1206 0.0160
43 O 0.1149 0.5381 0.4124
44 O 0.8851 0.4619 0.5876
45 Zn 0.2480 0.4690 0.6300
46 O 0.6405 0.9567 0.2433
47 K 0.7636 0.6749 0.9778
48 O 0.9240 0.7363 0.5922
49 O 0.5108 0.6214 0.8274
50 O 0.6594 0.6206 0.4840
51 O 0.6149 0.9619 0.9124
52 Zn 0.7480 0.0310 0.1300

Calculated values
- total DFT energy (no corrections) (eV per atom) = -9.554
- crystal system = monoclinic
- energy relative to the elements, uncorrected (eV/atom) = -1.92

---

Computed, not measured: a crystal of K3SbO4 relaxed with PBEsol at the meta-GGA SCAN level of DFT.

Lattice parameters (Å, degrees): 5.6916 6.5284 7.3395 90.00 90.00 108.45
Fractional positions:
1 O 0.0062 0.8302 0.0884
2 O 0.5691 0.7898 0.2981
3 O 0.9938 0.1698 0.9116
4 K 0.2500 0.5000 0.1078
5 K 0.2500 0.0000 0.3896
6 Sb 0.7500 0.0000 0.1142
7 K 0.7500 0.0000 0.6104
8 O 0.4309 0.2102 0.7019
9 O 0.4938 0.1698 0.0884
10 O 0.9309 0.2102 0.2981
11 O 0.5062 0.8302 0.9116
12 K 0.7500 0.5000 0.8922
13 K 0.7500 0.5000 0.3815
14 Sb 0.2500 0.0000 0.8858
15 O 0.0691 0.7898 0.7019
16 K 0.2500 0.5000 0.6185

Calculated values
- total DFT energy (no corrections) (eV per atom) = -12.613
- crystal system = monoclinic
- energy relative to the elements, uncorrected (eV/atom) = -1.72

---

Computed, not measured: a crystal of K4Sb2O5 relaxed with PBEsol at the meta-GGA SCAN level of DFT.

Lattice parameters (Å, degrees): 6.3382 7.8402 18.1161 90.00 90.00 90.00
Fractional positions:
1 Sb 0.2500 0.6238 0.1680
2 Sb 0.7500 0.3762 0.8320
3 O 0.7500 0.6248 0.8011
4 O 0.2500 0.1248 0.6989
5 O 0.5207 0.8752 0.9018
6 K 0.2500 0.6251 0.5122
7 K 0.7500 0.6249 0.9851
8 O 0.0206 0.6248 0.0977
9 Sb 0.7500 0.6264 0.3316
10 O 0.0207 0.1248 0.0982
11 O 0.5207 0.6248 0.4018
12 K 0.2500 0.1258 0.8496
13 K 0.2500 0.3742 0.3496
14 Sb 0.2500 0.3736 0.6684
15 O 0.9794 0.1248 0.4023
16 K 0.7500 0.1251 0.9878
17 K 0.2500 0.8749 0.0122
18 O 0.4793 0.3752 0.5982
19 K 0.7500 0.8742 0.1504
20 O 0.0206 0.8752 0.5977
21 K 0.2500 0.3751 0.0149
22 O 0.0207 0.3752 0.5982
23 K 0.7500 0.3756 0.1518
24 O 0.5206 0.1248 0.4023
25 O 0.9794 0.3752 0.9023
26 O 0.4793 0.1248 0.0982
27 Sb 0.2500 0.1264 0.1684
28 K 0.7500 0.6258 0.6504
29 K 0.2500 0.6244 0.8482
30 K 0.7500 0.8751 0.4851
31 K 0.7500 0.1244 0.6518
32 Sb 0.7500 0.8736 0.8316
33 O 0.7500 0.8752 0.3011
34 O 0.4794 0.6248 0.0977
35 O 0.2500 0.3752 0.1989
36 K 0.2500 0.1249 0.5149
37 O 0.5206 0.3752 0.9023
38 O 0.9793 0.8752 0.9018
39 O 0.4794 0.8752 0.5977
40 Sb 0.2500 0.8762 0.6680
41 O 0.9793 0.6248 0.4018
42 K 0.7500 0.3749 0.4878
43 Sb 0.7500 0.1238 0.3320
44 K 0.2500 0.8756 0.3482

Calculated values
- total DFT energy (no corrections) (eV per atom) = -14.319
- crystal system = orthorhombic
- energy relative to the elements, uncorrected (eV/atom) = -1.68

---

Computed, not measured: a crystal of K3Sb5O14 relaxed with PBEsol at the meta-GGA SCAN level of DFT.

Lattice parameters (Å, degrees): 7.1989 7.3900 24.3926 90.00 90.00 90.00
Fractional positions:
1 O 0.3749 0.8040 0.6843
2 Sb 0.1786 0.9875 0.2435
3 O 0.1609 0.4884 0.9821
4 O 0.1618 0.4860 0.5946
5 O 0.6618 0.4860 0.9054
6 Sb 0.6786 0.9875 0.2565
7 Sb 0.3214 0.9875 0.7435
8 O 0.8398 0.2914 0.6048
9 Sb 0.3911 0.7525 0.3547
10 O 0.2571 0.7602 0.7874
11 O 0.7429 0.7602 0.2126
12 O 0.3391 0.4884 0.4821
13 K 0.7213 0.9684 0.5155
14 O 0.5000 0.6676 0.0000
15 O 0.9740 0.4880 0.1426
16 Sb 0.5931 0.4870 0.4378
17 O 0.3137 0.9879 0.3803
18 O 0.7434 0.2140 0.2126
19 K 0.7787 0.9684 0.0155
20 O 0.0000 0.6676 0.5000
21 K 0.2213 0.9684 0.9845
22 O 0.3398 0.2914 0.8952
23 O 0.6251 0.8040 0.3157
24 O 0.6609 0.4884 0.5179
25 O 0.7566 0.2140 0.7126
26 K 0.3984 0.0051 0.1164
27 O 0.6256 0.1722 0.3155
28 Sb 0.1089 0.7525 0.8547
29 K 0.1358 0.4940 0.7060
30 O 0.5000 0.3082 0.0000
31 Sb 0.4182 0.4876 0.9426
32 O 0.7571 0.7602 0.7126
33 Sb 0.1085 0.2231 0.8546
34 O 0.1863 0.9879 0.8803
35 Sb 0.8915 0.2231 0.1454
36 O 0.8390 0.6872 0.6035
37 Sb 0.0931 0.4870 0.0622
38 Sb 0.9069 0.4870 0.9378
39 O 0.2566 0.2140 0.7874
40 O 0.1256 0.1722 0.1845
41 O 0.4540 0.7450 0.5732
42 O 0.6610 0.6872 0.1035
43 O 0.8382 0.4860 0.4054
44 K 0.1016 0.0051 0.6164
45 O 0.3744 0.1722 0.6845
46 O 0.6863 0.9879 0.6197
47 O 0.8749 0.8040 0.8157
48 O 0.3382 0.4860 0.0946
49 O 0.8744 0.1722 0.8155
50 K 0.6358 0.4940 0.7940
51 O 0.8391 0.4884 0.0179
52 K 0.3642 0.4940 0.2060
53 O 0.4394 0.9863 0.2179
54 O 0.0260 0.4880 0.8574
55 O 0.9394 0.9863 0.2821
56 O 0.2434 0.2140 0.2874
57 O 0.6602 0.2914 0.1048
58 Sb 0.0818 0.4876 0.4426
59 O 0.0606 0.9863 0.7179
60 K 0.2787 0.9684 0.4845
61 K 0.6016 0.0051 0.8836
62 O 0.5460 0.7450 0.4268
63 O 0.0456 0.2296 0.0735
64 O 0.1251 0.8040 0.1843
65 Sb 0.5818 0.4876 0.0574
66 O 0.0460 0.7450 0.0732
67 K 0.8984 0.0051 0.3836
68 O 0.9540 0.7450 0.9268
69 O 0.3390 0.6872 0.8965
70 Sb 0.3915 0.2231 0.3546
71 O 0.0000 0.3082 0.5000
72 O 0.1602 0.2914 0.3952
73 Sb 0.6085 0.2231 0.6454
74 K 0.8642 0.4940 0.2940
75 O 0.8137 0.9879 0.1197
76 Sb 0.8214 0.9875 0.7565
77 O 0.5456 0.2296 0.4265
78 O 0.4740 0.4880 0.3574
79 O 0.1610 0.6872 0.3965
80 O 0.9544 0.2296 0.9265
81 Sb 0.4069 0.4870 0.5622
82 Sb 0.6089 0.7525 0.6453
83 O 0.5260 0.4880 0.6426
84 O 0.2429 0.7602 0.2874
85 Sb 0.9182 0.4876 0.5574
86 O 0.4544 0.2296 0.5735
87 Sb 0.8911 0.7525 0.1453
88 O 0.5606 0.9863 0.7821

Calculated values
- total DFT energy (no corrections) (eV per atom) = -15.252
- crystal system = orthorhombic
- energy relative to the elements, uncorrected (eV/atom) = -1.68